1.
# Ho3Er2LuSb2Os | OQMD via LeMat-Bulk | PBE | optimized geometry
data_Ho3Er2LuSb2Os
_chemical_formula_sum 'Ho6 Er4 Lu2 Sb4 Os2'
_space_group_name_H-M_alt 'A m m 2'
_space_group_IT_number 38
_cell_length_a 4.184
_cell_length_b 14.098
_cell_length_c 8.107
_cell_angle_alpha 90.00
_cell_angle_beta 90.00
_cell_angle_gamma 90.00
loop_
_space_group_symop_operation_xyz
'x,y,z'
'-x,-y,z'
'-x,y,z'
'x,-y,z'
'x,y+1/2,z+1/2'
'-x,-y+1/2,z+1/2'
'-x,y+1/2,z+1/2'
'x,-y+1/2,z+1/2'
loop_
_atom_site_label
_atom_site_type_symbol
_atom_site_fract_x
_atom_site_fract_y
_atom_site_fract_z
_atom_site_occupancy
Ho1 Ho 0.000 0.000 0.000 1
Ho2 Ho 0.000 0.120 0.643 1
Er1 Er 0.500 0.195 0.959 1
Lu1 Lu 0.500 0.000 0.374 1
Sb1 Sb 0.000 0.166 0.263 1
Os1 Os 0.500 0.000 0.758 1
# Raw total energy ... -52.7 eV/f.u.


2.
# LiAl2Ir | OQMD via LeMat-Bulk | PBE | optimized geometry
data_LiAl2Ir
_chemical_formula_sum 'Li4 Al8 Ir4'
_space_group_name_H-M_alt 'F m -3 m'
_space_group_IT_number 225
_space_group_name_Hall '-F 4 2 3'
_cell_length_a 6.031
_cell_length_b 6.031
_cell_length_c 6.031
_cell_angle_alpha 90.00
_cell_angle_beta 90.00
_cell_angle_gamma 90.00
loop_
_atom_site_label
_atom_site_type_symbol
_atom_site_fract_x
_atom_site_fract_y
_atom_site_fract_z
_atom_site_occupancy
Li1 Li 0.000 0.000 0.000 1
Al1 Al 0.250 0.250 0.250 1
Ir1 Ir 0.000 0.000 0.500 1
# Distance to the lowest polymorph of the same formula ... 0.000 eV/atom


3.
# HoEr2Tm3Te2Au | OQMD via LeMat-Bulk | PBE | optimized geometry
data_HoEr2Tm3Te2Au
_chemical_formula_sum 'Ho2 Er4 Tm6 Te4 Au2'
_space_group_name_H-M_alt 'A m m 2'
_space_group_IT_number 38
_cell_length_a 3.932
_cell_length_b 14.479
_cell_length_c 8.370
_cell_angle_alpha 90.00
_cell_angle_beta 90.00
_cell_angle_gamma 90.00
loop_
_space_group_symop_operation_xyz
'x,y,z'
'-x,-y,z'
'-x,y,z'
'x,-y,z'
'x,y+1/2,z+1/2'
'-x,-y+1/2,z+1/2'
'-x,y+1/2,z+1/2'
'x,-y+1/2,z+1/2'
loop_
_atom_site_label
_atom_site_type_symbol
_atom_site_fract_x
_atom_site_fract_y
_atom_site_fract_z
_atom_site_occupancy
Ho1 Ho 0.000 0.000 0.000 1
Er1 Er 0.000 0.201 0.603 1
Tm1 Tm 0.500 0.000 0.654 1
Tm2 Tm 0.500 0.126 0.277 1
Te1 Te 0.500 0.167 0.902 1
Au1 Au 0.000 0.000 0.403 1
# Raw total energy ... -43.6 eV/f.u.


4.
# KGdCoS3 | OQMD via LeMat-Bulk | PBE | optimized geometry
data_KGdCoS3
_chemical_formula_sum 'K2 Gd2 Co2 S6'
_space_group_name_H-M_alt 'P 1 21/m 1'
_space_group_IT_number 11
_cell_length_a 8.800
_cell_length_b 3.891
_cell_length_c 9.143
_cell_angle_alpha 90.00
_cell_angle_beta 106.97
_cell_angle_gamma 90.00
loop_
_space_group_symop_operation_xyz
'x,y,z'
'-x,-y,-z'
'-x,y+1/2,-z'
'x,-y+1/2,z'
loop_
_atom_site_label
_atom_site_type_symbol
_atom_site_fract_x
_atom_site_fract_y
_atom_site_fract_z
_atom_site_occupancy
K1 K 0.200 0.250 0.232 1
Gd1 Gd 0.330 0.750 0.854 1
Co1 Co 0.076 0.250 0.590 1
S1 S 0.108 0.250 0.846 1
S2 S 0.176 0.750 0.531 1
S3 S 0.455 0.750 0.164 1
# Distance to the lowest polymorph of the same formula ... 0.000 eV/atom


5.
# Tm5C2S | OQMD via LeMat-Bulk | PBE | optimized geometry
data_Tm5C2S
_chemical_formula_sum 'Tm5 C2 S1'
_space_group_name_H-M_alt 'P -6 m 2'
_space_group_IT_number 187
_space_group_name_Hall 'P -6 2'
_cell_length_a 3.5863
_cell_length_b 3.5863
_cell_length_c 15.1711
_cell_angle_alpha 90.00
_cell_angle_beta 90.00
_cell_angle_gamma 120.00
loop_
_atom_site_label
_atom_site_type_symbol
_atom_site_fract_x
_atom_site_fract_y
_atom_site_fract_z
_atom_site_occupancy
Tm1 Tm 0.0000 0.0000 0.0000 1
Tm2 Tm 0.0000 0.0000 0.3778 1
Tm3 Tm 0.6667 0.3333 0.2047 1
C1 C 0.3333 0.6667 0.2890 1
S1 S 0.6667 0.3333 0.5000 1
# Raw total energy ... -50.9 eV/f.u.


6.
# SrBeNi | OQMD via LeMat-Bulk | PBE | optimized geometry
data_SrBeNi
_chemical_formula_sum 'Sr4 Be4 Ni4'
_space_group_name_H-M_alt 'F -4 3 m'
_space_group_IT_number 216
_space_group_name_Hall 'F -4 2 3'
_cell_length_a 6.706
_cell_length_b 6.706
_cell_length_c 6.706
_cell_angle_alpha 90.00
_cell_angle_beta 90.00
_cell_angle_gamma 90.00
loop_
_atom_site_label
_atom_site_type_symbol
_atom_site_fract_x
_atom_site_fract_y
_atom_site_fract_z
_atom_site_occupancy
Sr1 Sr 0.000 0.000 0.000 1
Be1 Be 0.250 0.250 0.750 1
Ni1 Ni 0.250 0.250 0.250 1
# Distance to the lowest polymorph of the same formula ... 0.636 eV/atom


7.
# B4PtW | OQMD via LeMat-Bulk | PBE | optimized geometry
data_B4PtW
_chemical_formula_sum 'B8 Pt2 W2'
_space_group_name_H-M_alt 'I m m m'
_space_group_IT_number 71
_space_group_name_Hall '-I 2 2'
_cell_length_a 3.062
_cell_length_b 4.938
_cell_length_c 7.480
_cell_angle_alpha 90.00
_cell_angle_beta 90.00
_cell_angle_gamma 90.00
loop_
_atom_site_label
_atom_site_type_symbol
_atom_site_fract_x
_atom_site_fract_y
_atom_site_fract_z
_atom_site_occupancy
B1 B 0.000 0.185 0.224 1
Pt1 Pt 0.000 0.500 0.000 1
W1 W 0.000 0.500 0.500 1
# Distance to the lowest polymorph of the same formula ... 0.072 eV/atom


8.
# Tm6Fe2Hg | OQMD via LeMat-Bulk | PBE | optimized geometry
data_Tm6Fe2Hg
_chemical_formula_sum 'Tm24 Fe8 Hg4'
_space_group_name_H-M_alt 'I m m m'
_space_group_IT_number 71
_space_group_name_Hall '-I 2 2'
_cell_length_a 9.224
_cell_length_b 9.486
_cell_length_c 9.782
_cell_angle_alpha 90.00
_cell_angle_beta 90.00
_cell_angle_gamma 90.00
loop_
_atom_site_label
_atom_site_type_symbol
_atom_site_fract_x
_atom_site_fract_y
_atom_site_fract_z
_atom_site_occupancy
Tm1 Tm 0.000 0.216 0.225 1
Tm2 Tm 0.204 0.500 0.185 1
Tm3 Tm 0.208 0.311 0.500 1
Fe1 Fe 0.000 0.387 0.000 1
Fe2 Fe 0.000 0.500 0.391 1
Hg1 Hg 0.000 0.000 0.000 1
Hg2 Hg 0.000 0.000 0.500 1
# ΔE_f ... -175 meV/atom


9.
# YAsPt5 | OQMD via LeMat-Bulk | PBE | optimized geometry
data_YAsPt5
_chemical_formula_sum 'Y1 As1 Pt5'
_space_group_name_H-M_alt 'P 4/m m m'
_space_group_IT_number 123
_space_group_name_Hall '-P 4 2'
_cell_length_a 4.092
_cell_length_b 4.092
_cell_length_c 7.239
_cell_angle_alpha 90.00
_cell_angle_beta 90.00
_cell_angle_gamma 90.00
loop_
_atom_site_label
_atom_site_type_symbol
_atom_site_fract_x
_atom_site_fract_y
_atom_site_fract_z
_atom_site_occupancy
Y1 Y 0.000 0.000 0.000 1
As1 As 0.500 0.500 0.500 1
Pt1 Pt 0.000 0.500 0.290 1
Pt2 Pt 0.500 0.500 0.000 1
# Raw total energy ... -46.4 eV/f.u.


10.
# Cs2RbMoCl6 | OQMD via LeMat-Bulk | PBE | optimized geometry
data_Cs2RbMoCl6
_chemical_formula_sum 'Cs8 Rb4 Mo4 Cl24'
_space_group_name_H-M_alt 'F m -3 m'
_space_group_IT_number 225
_space_group_name_Hall '-F 4 2 3'
_cell_length_a 11.054
_cell_length_b 11.054
_cell_length_c 11.054
_cell_angle_alpha 90.00
_cell_angle_beta 90.00
_cell_angle_gamma 90.00
loop_
_atom_site_label
_atom_site_type_symbol
_atom_site_fract_x
_atom_site_fract_y
_atom_site_fract_z
_atom_site_occupancy
Cs1 Cs 0.250 0.250 0.250 1
Rb1 Rb 0.000 0.000 0.000 1
Mo1 Mo 0.000 0.000 0.500 1
Cl1 Cl 0.000 0.000 0.278 1
# Raw total energy ... -40.2 eV/f.u.


11.
# TaTlCoPd | OQMD via LeMat-Bulk | PBE | optimized geometry
data_TaTlCoPd
_chemical_formula_sum 'Ta4 Tl4 Co4 Pd4'
_space_group_name_H-M_alt 'F -4 3 m'
_space_group_IT_number 216
_space_group_name_Hall 'F -4 2 3'
_cell_length_a 6.400
_cell_length_b 6.400
_cell_length_c 6.400
_cell_angle_alpha 90.00
_cell_angle_beta 90.00
_cell_angle_gamma 90.00
loop_
_atom_site_label
_atom_site_type_symbol
_atom_site_fract_x
_atom_site_fract_y
_atom_site_fract_z
_atom_site_occupancy
Ta1 Ta 0.000 0.000 0.000 1
Tl1 Tl 0.000 0.000 0.500 1
Co1 Co 0.250 0.250 0.750 1
Pd1 Pd 0.250 0.250 0.250 1
# Distance to the lowest polymorph of the same formula ... 0.000 eV/atom